1.
{
  "formula": "MoOs3Ru",
  "functional": "PBE",
  "state": "optimized geometry",
  "lattice": [[4.6315, 0.0000, 0.0000], [0.0000, 4.6315, 0.0000], [0.0000, 0.0000, 4.6315]],
  "species": ["Mo", "Os", "Os", "Os", "Ru"],
  "fractional_positions": [[0.0000, 0.0000, 0.0000], [0.0000, 0.0000, 0.5000], [0.0000, 0.5000, 0.0000], [0.5000, 0.0000, 0.0000], [0.5000, 0.5000, 0.5000]],
  "magmom_total_mub_per_fu": 2.84,
  "formation_energy_ev_per_atom": 2.5174,
  "final_energy_ev_per_atom": -8.242,
  "de_polymorph_mev_per_atom": 2024.0,
  "rho_g_cm3": 12.8,
  "vol_a3_per_fu": 99
}

=====

2.
{
  "formula": "MoOs2Ru",
  "functional": "PBE",
  "state": "optimized geometry",
  "lattice": [[2.7453, 0.0000, 0.0000], [0.0000, 2.7453, 0.0000], [0.0000, 0.0000, 7.7596]],
  "species": ["Mo", "Os", "Os", "Ru"],
  "fractional_positions": [[0.0000, 0.0000, 0.0000], [0.5000, 0.5000, 0.2560], [0.5000, 0.5000, 0.7440], [0.0000, 0.0000, 0.5000]],
  "magmom_total_mub_per_fu": 0.00,
  "formation_energy_ev_per_atom": 0.1078,
  "final_energy_ev_per_atom": -10.534,
  "de_polymorph_mev_per_atom": 119.9,
  "rho_g_cm3": 16.4,
  "vol_a3_per_fu": 58
}

=====

3.
{
  "formula": "MoOs2Ru",
  "functional": "PBE",
  "state": "optimized geometry",
  "lattice": [[4.5569, -1.3726, 0.0000], [4.5569, 1.3726, 0.0000], [-0.8240, 0.0000, 4.6758]],
  "species": ["Mo", "Os", "Os", "Ru"],
  "fractional_positions": [[0.0000, 0.0000, 0.0000], [0.2469, 0.2469, 0.7303], [0.5017, 0.5017, 0.5020], [0.7519, 0.7519, 0.2455]],
  "magmom_total_mub_per_fu": 0.00,
  "formation_energy_ev_per_atom": 0.0766,
  "final_energy_ev_per_atom": -10.565,
  "de_polymorph_mev_per_atom": 88.7,
  "rho_g_cm3": 16.4,
  "vol_a3_per_fu": 58
}

=====

4.
{
  "formula": "MoOs2Ru",
  "functional": "PBE",
  "state": "optimized geometry",
  "lattice": [[1.3691, 0.7905, 9.0068], [-1.3691, 0.7905, 9.0068], [0.0000, -1.5809, 9.0068]],
  "species": ["Mo", "Os", "Os", "Ru"],
  "fractional_positions": [[0.0000, 0.0000, 0.0000], [0.2484, 0.2484, 0.2484], [0.7516, 0.7516, 0.7516], [0.5000, 0.5000, 0.5000]],
  "magmom_total_mub_per_fu": 0.00,
  "formation_energy_ev_per_atom": 0.1316,
  "final_energy_ev_per_atom": -10.510,
  "de_polymorph_mev_per_atom": 143.7,
  "rho_g_cm3": 16.4,
  "vol_a3_per_fu": 58
}

=====

Copy entry 2 word for word.
{
  "formula": "MoOs2Ru",
  "functional": "PBE",
  "state": "optimized geometry",
  "lattice": [[2.7453, 0.0000, 0.0000], [0.0000, 2.7453, 0.0000], [0.0000, 0.0000, 7.7596]],
  "species": ["Mo", "Os", "Os", "Ru"],
  "fractional_positions": [[0.0000, 0.0000, 0.0000], [0.5000, 0.5000, 0.2560], [0.5000, 0.5000, 0.7440], [0.0000, 0.0000, 0.5000]],
  "magmom_total_mub_per_fu": 0.00,
  "formation_energy_ev_per_atom": 0.1078,
  "final_energy_ev_per_atom": -10.534,
  "de_polymorph_mev_per_atom": 119.9,
  "rho_g_cm3": 16.4,
  "vol_a3_per_fu": 58
}

=====

Question: What is the formula in the first record?
Answer: MoOs3Ru